# 1
5
Lattice="4.891 0.000 0.000 0.000 4.891 0.000 0.000 0.000 4.891" Properties=species:S:1:pos:R:3 comment="Li3BiBr, relaxed, DFT GGA-PBE" polymorph_energy_ev_per_atom=0.0000 spacegroup="Pm-3m (221)" pbc="T T T"
Li 0.000 0.000 2.445
Li 0.000 2.445 0.000
Li 2.445 0.000 0.000
Bi 2.445 2.445 2.445
Br 0.000 0.000 0.000


# 2
12
Lattice="15.987 0.000 0.000 0.000 4.135 0.000 -3.072 0.000 6.408" Properties=species:S:1:pos:R:3 comment="LiBiBr4, relaxed, DFT GGA-PBE" polymorph_energy_ev_per_atom=0.0000 spacegroup="C2/m (12)" pbc="T T T"
Li 0.000 0.000 0.000
Li 7.993 2.068 0.000
Bi -1.536 2.068 3.204
Bi 6.457 0.000 3.204
Br 0.857 2.068 1.666
Br -0.532 0.000 5.010
Br 5.454 2.068 1.397
Br 4.064 0.000 4.741
Br 8.850 0.000 1.666
Br 7.461 2.068 5.010
Br 13.447 0.000 1.397
Br 12.058 2.068 4.741


# 3
18
Lattice="7.330 -7.268 0.000 7.330 7.268 0.000 -1.720 0.000 6.794" Properties=species:S:1:pos:R:3 comment="LiBi2Br6, relaxed, DFT GGA-PBE" final_energy_ev_per_cell=-53.13 spacegroup="C2/c (15)" pbc="T T T"
Li 6.040 7.061 5.096
Li 6.900 -7.061 1.699
Bi 1.917 1.397 6.740
Bi 2.778 -1.397 3.342
Bi 10.163 1.397 3.452
Bi 11.023 -1.397 0.055
Br 0.627 1.077 3.959
Br 3.699 3.799 6.167
Br 1.487 -1.077 0.562
Br 4.569 0.959 2.511
Br 8.382 3.799 4.024
Br 3.709 -0.959 5.908
Br 9.232 0.959 0.886
Br 4.559 -3.799 2.770
Br 8.372 -0.959 4.283
Br 11.453 1.077 6.232
Br 9.242 -3.799 0.627
Br 12.313 -1.077 2.835


# 4
11
Lattice="4.589 -6.285 0.000 4.589 6.285 0.000 -1.095 0.000 6.962" Properties=species:S:1:pos:R:3 comment="Li2Bi2Br7, relaxed, DFT GGA-PBE" final_energy_ev_per_cell=-32.55 spacegroup="C2/m (12)" pbc="T T T"
Li 1.700 0.000 2.762
Li 6.383 0.000 4.200
Bi 4.589 2.335 0.000
Bi 4.589 -2.335 0.000
Br -0.547 0.000 3.481
Br 2.133 2.235 1.558
Br 2.748 0.000 5.349
Br 2.133 -2.235 1.558
Br 5.950 2.235 5.404
Br 5.335 0.000 1.613
Br 5.950 -2.235 5.404


# 5
12
Lattice="3.683 0.000 0.000 -1.842 3.190 0.000 0.000 0.000 25.780" Properties=species:S:1:pos:R:3 comment="Li2BiBr, relaxed, DFT GGA-PBE" polymorph_energy_ev_per_atom=0.0014 spacegroup="R-3m (166)" pbc="T T T"
Li 0.000 0.000 2.740
Li 0.000 0.000 23.040
Li 0.000 2.127 14.447
Li 0.000 2.127 19.927
Li 1.842 1.063 5.853
Li 1.842 1.063 11.334
Bi 0.000 0.000 0.000
Bi 0.000 2.127 17.187
Bi 1.842 1.063 8.593
Br 0.000 0.000 12.890
Br 0.000 2.127 4.297
Br 1.842 1.063 21.484


# 6
9
Lattice="6.746 -2.204 0.000 6.746 2.204 0.000 -2.417 0.000 9.812" Properties=species:S:1:pos:R:3 comment="Li2BiBr6, relaxed, DFT GGA-PBE" final_energy_ev_per_cell=-25.53 spacegroup="C2/m (12)" pbc="T T T"
Li 2.611 0.000 1.583
Li 8.463 0.000 8.229
Bi -1.209 0.000 4.906
Br 0.022 0.000 2.384
Br 2.193 0.000 9.361
Br 3.741 0.000 4.050
Br 7.333 0.000 5.762
Br 8.881 0.000 0.451
Br 11.053 0.000 7.428


# 7
12
Lattice="4.054 -8.885 0.000 4.054 8.885 0.000 -4.007 0.000 5.861" Properties=species:S:1:pos:R:3 comment="LiBiBr4, relaxed, DFT GGA-PBE" polymorph_energy_ev_per_atom=0.0107 spacegroup="C2/c (15)" pbc="T T T"
Li 1.048 5.804 4.396
Li 3.052 -5.804 1.465
Bi 3.052 3.086 1.465
Bi 1.048 -3.086 4.396
Br -0.833 3.597 4.433
Br 0.964 1.330 1.409
Br -1.040 -1.330 4.339
Br 1.170 -3.597 1.503
Br 2.930 3.597 4.358
Br 5.140 1.330 1.522
Br 3.136 -1.330 4.452
Br 4.933 -3.597 1.428


# 8
4
Lattice="3.399 0.000 0.000 0.000 3.399 0.000 0.000 0.000 7.926" Properties=species:S:1:pos:R:3 comment="Li2BiBr, relaxed, DFT GGA-PBE" polymorph_energy_ev_per_atom=0.0000 spacegroup="P4/mmm (123)" pbc="T T T"
Li 0.000 0.000 1.667
Li 0.000 0.000 6.258
Bi 1.699 1.699 3.963
Br 1.699 1.699 0.000


# 9
16
Lattice="7.223 0.000 0.000 0.000 7.223 0.000 0.000 0.000 7.223" Properties=species:S:1:pos:R:3 comment="Li2BiBr, relaxed, DFT GGA-PBE" polymorph_energy_ev_per_atom=0.4581 spacegroup="Fm-3m (225)" pbc="T T T"
Li 1.806 1.806 1.806
Li 1.806 1.806 5.417
Li 1.806 5.417 1.806
Li 1.806 5.417 5.417
Li 5.417 1.806 1.806
Li 5.417 1.806 5.417
Li 5.417 5.417 1.806
Li 5.417 5.417 5.417
Bi 0.000 0.000 0.000
Bi 0.000 3.611 3.611
Bi 3.611 0.000 3.611
Bi 3.611 3.611 0.000
Br 0.000 0.000 3.611
Br 0.000 3.611 0.000
Br 3.611 0.000 0.000
Br 3.611 3.611 3.611


# 10
80
Lattice="-7.918 7.918 7.918 7.918 -7.918 7.918 7.918 7.918 -7.918" Properties=species:S:1:pos:R:3 comment="Li12Bi3Br5, relaxed, DFT GGA-PBE" final_energy_ev_per_cell=-242.29 spacegroup="Ia-3d (230)" pbc="T T T"
Li 2.423 -0.310 1.111
Li 9.454 5.070 -4.269
Li 7.608 -1.111 2.423
Li 12.187 -1.536 2.848
Li 10.341 0.310 1.111
Li 9.454 -2.848 4.269
Li 1.111 2.423 -0.310
Li 10.766 3.649 -1.536
Li 5.070 4.269 -1.536
Li 6.807 2.423 0.310
Li -0.310 1.111 2.423
Li 4.269 -1.536 5.070
Li 7.608 6.807 -2.423
Li 4.269 1.536 2.848
Li 6.807 -2.423 7.608
Li 5.070 -4.269 9.454
Li 2.848 4.269 1.536
Li 9.029 5.495 0.310
Li 2.423 7.608 -1.111
Li 9.454 2.848 3.649
Li 4.269 9.454 -2.848
Li 7.608 1.111 5.495
Li 1.536 2.848 4.269
Li 2.423 0.310 6.807
Li 5.495 7.608 1.111
Li 6.382 5.070 3.649
Li 0.310 6.807 2.423
Li 3.649 -1.536 10.766
Li -1.536 5.070 4.269
Li 5.495 0.310 9.029
Li -1.111 2.423 7.608
Li 5.070 3.649 6.382
Li 2.848 12.187 -1.536
Li 1.111 10.341 0.310
Li 3.649 6.382 5.070
Li 0.310 1.111 10.341
Li 3.649 9.454 2.848
Li 8.228 6.807 5.495
Li 1.111 5.495 7.608
Li 2.848 3.649 9.454
Li -2.848 4.269 9.454
Li 6.807 5.495 8.228
Li -1.536 10.766 3.649
Li -2.423 7.608 6.807
Li -4.269 9.454 5.070
Li 0.310 9.029 5.495
Li -1.536 2.848 12.187
Li 5.495 8.228 6.807
Bi 3.959 1.980 0.000
Bi 7.918 3.959 -1.980
Bi 1.980 0.000 3.959
Bi 9.898 0.000 3.959
Bi 0.000 3.959 1.980
Bi 3.959 -1.980 7.918
Bi 3.959 9.898 0.000
Bi 7.918 3.959 5.939
Bi -1.980 7.918 3.959
Bi 5.939 7.918 3.959
Bi 0.000 3.959 9.898
Bi 3.959 5.939 7.918
Br 0.000 0.000 0.000
Br 3.959 3.959 -3.959
Br 3.959 -3.959 3.959
Br 7.918 0.000 0.000
Br 11.877 1.980 0.000
Br 7.918 -3.959 5.939
Br 5.939 7.918 -3.959
Br 5.939 0.000 3.959
Br 3.959 5.939 0.000
Br 7.918 3.959 1.980
Br -3.959 3.959 3.959
Br 0.000 7.918 0.000
Br 0.000 0.000 7.918
Br 3.959 3.959 3.959
Br 0.000 3.959 5.939
Br 3.959 1.980 7.918
Br 1.980 7.918 3.959
Br 1.980 0.000 11.877
Br 0.000 11.877 1.980
Br -3.959 5.939 7.918


# 11
5
Lattice="5.380 0.000 0.000 0.000 5.380 0.000 0.000 0.000 5.380" Properties=species:S:1:pos:R:3 comment="Li3BiBr, relaxed, DFT GGA-PBE" polymorph_energy_ev_per_atom=0.2890 spacegroup="Pm-3m (221)" pbc="T T T"
Li 0.000 0.000 2.690
Li 0.000 2.690 0.000
Li 2.690 0.000 0.000
Bi 0.000 0.000 0.000
Br 2.690 2.690 2.690


# 12
5
Lattice="5.263 0.000 0.000 0.000 5.263 0.000 0.000 0.000 5.263" Properties=species:S:1:pos:R:3 comment="LiBi3Br, relaxed, DFT GGA-PBE" final_energy_ev_per_cell=-14.21 spacegroup="Pm-3m (221)" pbc="T T T"
Li 0.000 0.000 0.000
Bi 0.000 0.000 2.632
Bi 0.000 2.632 0.000
Bi 2.632 0.000 0.000
Br 2.632 2.632 2.632